(1)
First-principles (GGA-PBE) data for CdH3SI3 after structural relaxation, as listed in the Alexandria database.

Crystal system: triclinic

Cell: 4.6586 7.9870 8.2322 Å, 111.11 93.57 93.12°
Closest atoms and distances in Å follow each position.
Space group P1 (No. 1)
Symmetry-distinct sites (fractional):
1 Cd 0.0000 0.0000 0.0000 [1 per cell]  4 I 2.78-2.89
2 H 0.2197 0.6203 0.6129 [1 per cell]  1 S 1.42
3 H 0.3071 0.3933 0.4230 [1 per cell]  1 S 1.44
4 H 0.6292 0.5761 0.5995 [1 per cell]  1 S 1.41
5 S 0.4066 0.5811 0.4771 [1 per cell]  3 H 1.41-1.44
6 I 0.0513 0.1216 0.3632 [1 per cell]  1 H 2.29
7 I 0.4964 0.1191 0.8644 [1 per cell]  2 Cd 2.89
8 I 0.9549 0.6174 0.8488 [1 per cell]  2 H 2.37-2.39

(2)
First-principles (GGA-PBE) data for YEr3Tm6 after structural relaxation, as listed in the Alexandria database.

Crystal system: orthorhombic
Offset from the most stable computed form in meV per atom: 0

Cell: 9.4693 20.6858 6.2899 Å, 90.00 90.00 90.00°
Closest atoms and distances in Å follow each position.
Space group Cmc2_1 (No. 36)
Symmetry-distinct sites (fractional):
1 Y 0.0000 0.1620 0.0000 [4 per cell]  6 Tm 3.24-3.57, 2 Er 3.47
2 Er 0.0000 0.4200 0.9204 [4 per cell]  5 Tm 3.12-3.46, 2 Er 3.34
3 Er 0.1695 0.1270 0.5250 [8 per cell]  2 Er 3.21-3.34, 5 Tm 3.21-3.51, 1 Y 3.47
4 Tm 0.0000 0.0142 0.1985 [4 per cell]  4 Tm 3.20-3.53, 1 Y 3.30, 4 Er 3.50-3.51
5 Tm 0.0000 0.3021 0.2291 [4 per cell]  1 Er 3.12, 1 Y 3.24, 2 Tm 3.35
6 Tm 0.1764 0.2810 0.6853 [8 per cell]  2 Er 3.21-3.34, 3 Tm 3.34-3.52, 2 Y 3.48-3.57
7 Tm 0.1821 0.4393 0.4472 [8 per cell]  3 Er 3.30-3.46, 4 Tm 3.45-3.60, 1 Y 3.68

(3)
First-principles (GGA-PBE) data for BeCdSb after structural relaxation, as listed in the Alexandria database.

Crystal system: monoclinic
Offset from the most stable computed form in meV per atom: 63

Cell: 7.6093 3.1565 5.9297 Å, 90.00 96.43 90.00°
Closest atoms and distances in Å follow each position.
Space group Cm (No. 8)
Symmetry-distinct sites (fractional):
1 Be 0.0000 0.0000 0.0000 [2 per cell]  3 Sb 2.41-2.52, 2 Cd 2.57
2 Cd 0.4379 0.0000 0.6584 [2 per cell]  2 Be 2.57
3 Sb 0.2998 0.0000 0.1834 [2 per cell]  3 Be 2.41-2.52

(4)
First-principles (GGA-PBE) data for InMo2Rh after structural relaxation, as listed in the Alexandria database.

Crystal system: tetragonal

Cell: 3.2310 3.2310 6.3915 Å, 90.00 90.00 90.00°
Closest atoms and distances in Å follow each position.
Space group P4mm (No. 99)
Symmetry-distinct sites (fractional):
1 In 0.0000 0.0000 0.0000 [1 per cell]  4 Rh 2.78, 4 Mo 2.92
2 Mo 0.0000 0.0000 0.4920 [1 per cell]  4 Mo 2.64, 4 Rh 2.82
3 Mo 0.5000 0.5000 0.2838 [1 per cell]  4 Mo 2.64, 4 In 2.92
4 Rh 0.5000 0.5000 0.7517 [1 per cell]  4 In 2.78, 5 Mo 2.82-2.99

(5)
First-principles (GGA-PBE) data for TiCrW after structural relaxation, as listed in the Alexandria database.

Crystal system: trigonal
Offset from the most stable computed form in meV per atom: 43

Cell: 4.2806 4.2806 2.7717 Å, 90.00 90.00 120.00°
Closest atoms and distances in Å follow each position.
Space group P3m1 (No. 156)
Symmetry-distinct sites (fractional):
1 Ti 0.0000 0.0000 0.0000 [1 per cell]  3 Cr 2.64, 3 W 2.68, 2 Ti 2.77
2 Cr 0.6667 0.3333 0.3367 [1 per cell]  3 W 2.60, 3 Ti 2.64, 2 Cr 2.77
3 W 0.3333 0.6667 0.6289 [1 per cell]  3 Cr 2.60, 3 Ti 2.68, 2 W 2.77

no.,calculated total energy (Ry/atom)
1,-0.2036
2,-0.3360
3,-0.1959
4,-0.5805
5,-0.7452